Record 1
Entry from Alexandria via LeMat-Bulk: an optimized crystal structure of CeNpZn17 (GGA-PBE).

Cell lengths 6.8164, 6.8164, 6.8164 Å; angles 82.69, 82.69, 82.69 degrees
Fractional coordinates of all 19 atoms:
Ce1 0.6629 0.6629 0.6629
Np1 0.3363 0.3363 0.3363
Zn1 0.2952 0.0008 0.7039
Zn2 0.7039 0.2952 0.0008
Zn3 0.0008 0.7039 0.2952
Zn4 0.2952 0.7039 0.0008
Zn5 0.0008 0.2952 0.7039
Zn6 0.7039 0.0008 0.2952
Zn7 0.3510 0.8423 0.3510
Zn8 0.3510 0.3510 0.8423
Zn9 0.8423 0.3510 0.3510
Zn10 0.6461 0.1629 0.6461
Zn11 0.6461 0.6461 0.1629
Zn12 0.1629 0.6461 0.6461
Zn13 0.9996 0.5006 0.9996
Zn14 0.9996 0.9996 0.5006
Zn15 0.5006 0.9996 0.9996
Zn16 0.9007 0.9007 0.9007
Zn17 0.1013 0.1013 0.1013

Summary:
- SG = No. 160
- energy relative to the elements (eV per atom) = -0.140

---

Record 2
Entry from Alexandria via LeMat-Bulk: an optimized crystal structure of CeNpZn4 (GGA-PBE).

Cell lengths 5.4519, 5.4519, 5.4519 Å; angles 60.00, 60.00, 60.00 degrees
Fractional coordinates of all 6 atoms:
Np1 0.0000 0.0000 0.0000
Zn1 0.6252 0.6252 0.1243
Zn2 0.6252 0.1243 0.6252
Zn3 0.6252 0.6252 0.6252
Zn4 0.1243 0.6252 0.6252
Ce1 0.2500 0.2500 0.2500

Summary:
- SG = No. 216
- energy relative to the elements (eV per atom) = -0.075

---

So what do the calculations give for uncorrected energy? Going down the list: -2.27; -4.07 eV per atom.
So what do the calculations give for size of the total moment? Going down the list: 5.0; 4.9 μB/f.u..